Arrangement P

VASP calculation (PBE-GGA) on ScZnAg3 after structural relaxation.

abc: 7.1932 5.9742 8.7735
angles: 90.00 106.58 90.00
Closest atoms and distances in Å follow each position.
Space group P2_1/c (No. 14)
Symmetry-distinct sites (fractional):
1 Sc 0.1967 0.0080 0.2901 (multiplicity 4)  10 Ag 2.95-3.09, 3 Zn 2.95-3.15
2 Zn 0.3957 0.7437 0.0990 (multiplicity 4)  6 Ag 2.59-2.88
3 Ag 0.0076 0.7454 0.0030 (multiplicity 4)  1 Zn 2.68, 3 Ag 2.82-2.98, 2 Sc 2.95-2.96
4 Ag 0.2313 0.5090 0.3172 (multiplicity 4)  3 Zn 2.83-3.02, 6 Ag 2.87-3.11, 3 Sc 2.95-3.01
5 Ag 0.4004 0.2188 0.6008 (multiplicity 4)  3 Zn 2.59-2.76, 2 Ag 2.82-2.87

volume: 18.07 A^3/atom
crystal system: monoclinic
size of the total moment: 0.000 μB/atom



Arrangement Q

VASP calculation (PBE-GGA) on ScZnAg3 after structural relaxation.

abc: 4.7840 4.7840 4.7840
angles: 90.00 90.00 90.00
Closest atoms and distances in Å follow each position.
Space group Pm-3m (No. 221)
Symmetry-distinct sites (fractional):
1 Sc 0.0000 0.0000 0.0000 (multiplicity 1)  12 Ag 3.38
2 Zn 0.5000 0.5000 0.5000 (multiplicity 1)  6 Ag 2.39
3 Ag 0.0000 0.5000 0.5000 (multiplicity 3)  2 Zn 2.39

volume: 21.90 A^3/atom
crystal system: cubic
size of the total moment: 0.000 μB/atom



Most stable structure - arrangement P; separation to the second - 46.3 kJ/mol of atoms.



Arrangement P

VASP calculation (PBE-GGA) on ScZn2Ag8 after structural relaxation.

abc: 14.4536 4.2452 6.6381
angles: 90.00 109.03 90.00
Closest atoms and distances in Å follow each position.
Space group C2/m (No. 12)
Symmetry-distinct sites (fractional):
1 Sc 0.0000 0.0000 0.0000 (multiplicity 2)  12 Ag 2.87-3.00
2 Zn 0.2269 0.5000 0.6449 (multiplicity 4)  10 Ag 2.75-3.00
3 Ag 0.0476 0.5000 0.7296 (multiplicity 4)  1 Zn 2.82, 9 Ag 2.89-3.01, 2 Sc 3.00
4 Ag 0.0990 0.0000 0.4661 (multiplicity 4)  3 Zn 2.81-2.84, 8 Ag 2.87-3.04, 1 Sc 2.96
5 Ag 0.1425 0.5000 0.2054 (multiplicity 4)  3 Zn 2.77-2.80, 7 Ag 2.90-3.02, 2 Sc 2.96
6 Ag 0.1836 0.0000 0.9213 (multiplicity 4)  3 Zn 2.75-3.00, 8 Ag 2.82-3.02, 1 Sc 2.87

volume: 17.50 A^3/atom
crystal system: monoclinic
size of the total moment: 0.000 μB/atom



Arrangement Q

VASP calculation (PBE-GGA) on ScZn2Ag8 after structural relaxation.

abc: 7.6731 12.3181 4.6999
angles: 90.00 113.78 90.00
Closest atoms and distances in Å follow each position.
Space group C2/m (No. 12)
Symmetry-distinct sites (fractional):
1 Sc 0.0000 0.0000 0.0000 (multiplicity 2)  8 Ag 2.80-3.04
2 Zn 0.0000 0.3126 0.5000 (multiplicity 4)  8 Ag 2.57-2.77
3 Ag 0.0000 0.2273 0.0000 (multiplicity 4)  2 Zn 2.57, 1 Sc 2.80
4 Ag 0.1019 0.5000 0.8169 (multiplicity 4)  2 Zn 2.69, 4 Ag 2.75-2.89, 1 Sc 2.82
5 Ag 0.2012 0.1190 0.6137 (multiplicity 8)  2 Zn 2.69-2.77, 5 Ag 2.83-2.98

volume: 18.48 A^3/atom
crystal system: monoclinic
size of the total moment: 0.000 μB/atom



Most stable structure - arrangement P; separation to the second - 9.7 kJ/mol of atoms.



Arrangement P

VASP calculation (PBE-GGA) on Sc4ZnAg after structural relaxation.

abc: 4.6531 4.6531 23.0393
angles: 90.00 90.00 120.00
Closest atoms and distances in Å follow each position.
Space group R-3m (No. 166, hexagonal axes)
Symmetry-distinct sites (fractional):
1 Sc 0.0000 0.0000 0.1227 (multiplicity 6)  1 Zn 2.83, 3 Ag 2.87
2 Sc 0.0000 0.0000 0.3735 (multiplicity 6)  3 Zn 2.84, 1 Ag 2.92
3 Zn 0.0000 0.0000 0.0000 (multiplicity 3)  8 Sc 2.83-2.84
4 Ag 0.0000 0.0000 0.5000 (multiplicity 3)  8 Sc 2.87-2.92

volume: 24.00 A^3/atom
crystal system: trigonal
size of the total moment: 0.000 μB/atom



Arrangement Q

VASP calculation (PBE-GGA) on Sc4ZnAg after structural relaxation.

abc: 8.1103 8.1103 8.1103
angles: 90.00 90.00 90.00
Closest atoms and distances in Å follow each position.
Space group F-43m (No. 216)
Symmetry-distinct sites (fractional):
1 Sc 0.1245 0.1245 0.1245 (multiplicity 16)  6 Sc 2.86-2.88
2 Zn 0.2500 0.2500 0.7500 (multiplicity 4)  12 Sc 3.36, 4 Ag 3.51
3 Ag 0.0000 0.0000 0.5000 (multiplicity 4)  12 Sc 3.36, 4 Zn 3.51

volume: 22.23 A^3/atom
crystal system: cubic
size of the total moment: 0.000 μB/atom



Most stable structure - arrangement P; separation to the second - 25.1 kJ/mol of atoms.



Arrangement P

VASP calculation (PBE-GGA) on Sc3Zn8Ag after structural relaxation.

abc: 5.2102 5.2102 8.4741
angles: 90.00 90.00 120.00
Closest atoms and distances in Å follow each position.
Space group P3m1 (No. 156)
Symmetry-distinct sites (fractional):
1 Sc 0.0000 0.0000 0.0000 (multiplicity 1)  12 Zn 3.03-3.06, 4 Sc 3.19-3.20
2 Sc 0.0000 0.0000 0.3768 (multiplicity 1)  12 Zn 3.01-3.07, 3 Ag 3.19, 1 Sc 3.19
3 Sc 0.3333 0.6667 0.8711 (multiplicity 1)  12 Zn 3.03-3.05, 1 Ag 3.13, 3 Sc 3.20
4 Zn 0.0075 0.5037 0.1848 (multiplicity 3)  6 Zn 2.55-2.66
5 Zn 0.3255 0.1627 0.6874 (multiplicity 3)  6 Zn 2.54-2.67
6 Zn 0.6667 0.3333 0.4354 (multiplicity 1)  6 Zn 2.62-2.63
7 Zn 0.6667 0.3333 0.9311 (multiplicity 1)  6 Zn 2.58-2.64
8 Ag 0.3333 0.6667 0.5020 (multiplicity 1)  12 Zn 3.04-3.06, 4 Sc 3.13-3.19

volume: 16.60 A^3/atom
crystal system: trigonal
size of the total moment: 0.000 μB/atom



Arrangement Q

VASP calculation (PBE-GGA) on Sc3Zn8Ag after structural relaxation.

abc: 5.2052 5.2052 25.5372
angles: 90.00 90.00 120.00
Closest atoms and distances in Å follow each position.
Space group R3m (No. 160, hexagonal axes)
Symmetry-distinct sites (fractional):
1 Sc 0.0000 0.0000 0.0000 (multiplicity 3)  12 Zn 3.03-3.08, 4 Sc 3.18-3.23
2 Sc 0.0000 0.0000 0.1245 (multiplicity 3)  12 Zn 3.04-3.07, 3 Ag 3.17, 1 Sc 3.18
3 Sc 0.0000 0.0000 0.6205 (multiplicity 3)  12 Zn 3.01-3.11, 1 Ag 3.13, 3 Sc 3.23
4 Zn 0.0000 0.0000 0.3106 (multiplicity 3)  6 Zn 2.59-2.61
5 Zn 0.0000 0.0000 0.8111 (multiplicity 3)  6 Zn 2.61
6 Zn 0.1670 0.3341 0.8948 (multiplicity 9)  6 Zn 2.59-2.61
7 Zn 0.1673 0.3346 0.3939 (multiplicity 9)  6 Zn 2.59-2.61
8 Ag 0.0000 0.0000 0.4978 (multiplicity 3)  12 Zn 3.05-3.07, 4 Sc 3.13-3.17

volume: 16.64 A^3/atom
crystal system: trigonal
size of the total moment: 0.000 μB/atom



Most stable structure - arrangement P; separation to the second - 0.5 kJ/mol of atoms.